Here is crystalline Cs3CoBr5 at its relaxed geometry from the Open Quantum Materials Database. Energies are from PBE-GGA.

Output
- Density: 3.89 Mg/m³
- Calculated total energy: -3.337 eV per atom

```
Cs3CoBr5
1.0
-9.795 0.000 0.000
0.000 -9.795 0.000
4.897 4.897 7.630
Br Cs Co
10 6 2
Direct
0.703 0.203 0.685
0.482 0.703 0.685
0.982 0.482 0.685
0.203 0.982 0.685
0.000 0.000 0.000
0.500 0.500 0.000
0.297 0.797 0.315
0.797 0.018 0.315
0.518 0.297 0.315
0.018 0.518 0.315
0.663 0.163 0.000
0.250 0.250 0.500
0.750 0.750 0.500
0.337 0.837 0.000
0.837 0.663 0.000
0.163 0.337 0.000
0.250 0.750 0.500
0.750 0.250 0.500
```